No. 1
The following is a GGA-PBE calculation of an optimized crystal structure of AgRu2Br, from Alexandria.

```
AgRu2Br
1.0
-2.1269 3.7474 -1.6756
-3.9184 -1.2910 2.0867
0.8075 1.5708 2.4881
Ru Ag Br
2 1 1
Direct
0.5000 0.5000 0.0000
0.0000 0.0000 0.0000
0.5000 0.0000 0.5000
0.0000 0.5000 0.5000
```

Calculated values
V ... 16.30 Å³/atom
Offset from the most stable computed form ... 60.9 kJ per mole of atoms

No. 2
The following is a GGA-PBE calculation of an optimized crystal structure of YErTm, from Alexandria.

```
YErTm
1.0
3.4841 0.0000 0.0000
0.0000 5.5503 0.0000
0.0000 -2.7752 4.8067
Tm Er Y
1 1 1
Direct
0.1657 0.0000 0.0000
0.1677 0.3333 0.6667
0.6666 0.6667 0.3333
```

Calculated values
V ... 30.98 Å³/atom
Offset from the most stable computed form ... 4.5 kJ per mole of atoms

No. 3
The following is a GGA-PBE calculation of an optimized crystal structure of Ac2LaPmEr, from Alexandria.

```
Ac2LaPmEr
1.0
6.8583 0.0000 0.0000
0.0000 8.7146 1.6486
0.0000 -1.2100 6.4012
La Ac Pm Er
2 4 2 2
Direct
0.5816 0.0000 0.2500
0.4184 0.0000 0.7500
0.7147 0.7068 0.7498
0.2853 0.7068 0.2498
0.7147 0.2932 0.7502
0.2853 0.2932 0.2502
0.8136 0.5000 0.2500
0.1864 0.5000 0.7500
0.0000 0.0000 0.5000
0.0000 0.0000 0.0000
```

Calculated values
V ... 39.63 Å³/atom
Final energy ... -4.254 eV per atom

No. 4
The following is a GGA-PBE calculation of an optimized crystal structure of LaY2Ho6Er3, from Alexandria.

```
LaY2Ho6Er3
1.0
-5.0961 3.2016 -1.2162
3.0925 -2.6942 -4.5692
-5.6877 -9.7650 3.2801
Er Ho Y La
3 6 2 1
Direct
0.5000 0.5000 0.5000
0.1670 0.8330 0.5000
0.8330 0.1670 0.5000
0.7512 0.7512 0.2543
0.2488 0.2488 0.7457
0.0854 0.4194 0.2543
0.5806 0.9146 0.7457
0.4194 0.0854 0.2543
0.9146 0.5806 0.7457
0.6666 0.3334 0.0000
0.3334 0.6666 0.0000
0.0000 0.0000 0.0000
```

Calculated values
V ... 31.54 Å³/atom
Final energy ... -4.892 eV per atom

No. 5
The following is a GGA-PBE calculation of an optimized crystal structure of TmPd4Pt, from Alexandria.

```
TmPd4Pt
1.0
4.7095 0.0000 0.0000
0.0000 5.5167 0.0000
-2.3548 0.0000 8.6421
Pt Tm Pd
2 2 8
Direct
0.4248 0.4021 0.8496
0.5752 0.9021 0.1504
0.8815 0.6604 0.7630
0.1185 0.1604 0.2370
0.5714 0.4120 0.1428
0.8743 0.1595 0.7485
0.7143 0.1497 0.4285
0.7105 0.6497 0.4209
0.4286 0.9120 0.8572
0.2895 0.1497 0.5791
0.1257 0.6595 0.2515
0.2857 0.6497 0.5715
```

Calculated values
V ... 18.71 Å³/atom
Offset from the most stable computed form ... 26.3 kJ per mole of atoms

No. 6
The following is a GGA-PBE calculation of an optimized crystal structure of B5C7, from Alexandria.

```
B5C7
1.0
-3.3168 3.1876 -0.6703
-4.0775 0.8370 2.0700
3.8061 2.2897 3.0206
B C
5 7
Direct
0.3232 0.3338 0.1681
0.0222 0.9258 0.4872
0.9996 0.0101 0.9986
0.4075 0.3111 0.6795
0.8611 0.4722 0.5833
0.5697 0.0794 0.9151
0.8958 0.4375 0.0833
0.5815 0.0690 0.4107
0.2539 0.7637 0.2515
0.6585 0.6708 0.3186
0.2644 0.7518 0.7559
0.6626 0.6749 0.8481
```

Calculated values
V ... 6.68 Å³/atom
Offset from the most stable computed form ... 13.5 kJ per mole of atoms